VASP calculation (PBE) on a relaxed structure of TaTiMoBr2.

uncorrected formation energy	1.301	eV per atom
space group	P4/mmm (123)
crystal system	tetragonal
DOS(E_F)	0.86	states/eV per atom

a = 4.779 Å, b = 4.779 Å, c = 5.386 Å
α = 90.00°, β = 90.00°, γ = 90.00°
Atoms (fractional coordinates):
Ta  0.000  0.000  0.000
Ti  0.000  0.000  0.500
Mo  0.500  0.500  0.000
Br  0.000  0.500  0.500
Br  0.500  0.000  0.500


VASP calculation (PBE) on a relaxed structure of Ta2TlMoBr.

uncorrected formation energy	1.386	eV per atom
space group	P4/mmm (123)
crystal system	tetragonal
DOS(E_F)	1.17	states/eV per atom

a = 4.972 Å, b = 4.972 Å, c = 5.043 Å
α = 90.00°, β = 90.00°, γ = 90.00°
Atoms (fractional coordinates):
Ta  0.000  0.500  0.000
Ta  0.500  0.000  0.000
Tl  0.000  0.000  0.500
Mo  0.500  0.500  0.000
Br  0.500  0.500  0.500


VASP calculation (PBE) on a relaxed structure of TaV2MoBr.

uncorrected formation energy	1.475	eV per atom
space group	P4/mmm (123)
crystal system	tetragonal
DOS(E_F)	1.10	states/eV per atom

a = 4.715 Å, b = 4.715 Å, c = 4.944 Å
α = 90.00°, β = 90.00°, γ = 90.00°
Atoms (fractional coordinates):
Ta  0.000  0.000  0.000
V  0.000  0.500  0.500
V  0.500  0.000  0.500
Mo  0.000  0.000  0.500
Br  0.500  0.500  0.000


VASP calculation (PBE) on a relaxed structure of Ta2MoWBr.

uncorrected formation energy	2.130	eV per atom
space group	P4/mmm (123)
crystal system	tetragonal
DOS(E_F)	1.24	states/eV per atom

a = 4.863 Å, b = 4.863 Å, c = 4.681 Å
α = 90.00°, β = 90.00°, γ = 90.00°
Atoms (fractional coordinates):
Ta  0.000  0.500  0.000
Ta  0.500  0.000  0.000
Mo  0.000  0.000  0.000
W  0.500  0.500  0.500
Br  0.000  0.000  0.500


VASP calculation (PBE) on a relaxed structure of Tc2MoBr.

uncorrected formation energy	0.485	eV per atom
space group	R3m (160)
crystal system	trigonal
DOS(E_F)	0.95	states/eV per atom

a = 2.927 Å, b = 2.927 Å, c = 26.073 Å
α = 90.00°, β = 90.00°, γ = 120.00°
Atoms (fractional coordinates):
Tc  0.000  0.000  0.000
Tc  0.000  0.000  0.256
Tc  0.333  0.667  0.667
Tc  0.333  0.667  0.923
Tc  0.667  0.333  0.333
Tc  0.667  0.333  0.590
Mo  0.000  0.000  0.752
Mo  0.333  0.667  0.419
Mo  0.667  0.333  0.085
Br  0.000  0.000  0.499
Br  0.333  0.667  0.165
Br  0.667  0.333  0.832


VASP calculation (PBE) on a relaxed structure of Tc2MoBr.

uncorrected formation energy	0.495	eV per atom
space group	R-3m (166)
crystal system	trigonal
DOS(E_F)	0.53	states/eV per atom

a = 2.956 Å, b = 2.956 Å, c = 25.674 Å
α = 90.00°, β = 90.00°, γ = 120.00°
Atoms (fractional coordinates):
Tc  0.000  0.000  0.248
Tc  0.000  0.000  0.752
Tc  0.333  0.667  0.419
Tc  0.333  0.667  0.914
Tc  0.667  0.333  0.086
Tc  0.667  0.333  0.581
Mo  0.000  0.000  0.500
Mo  0.333  0.667  0.167
Mo  0.667  0.333  0.833
Br  0.000  0.000  0.000
Br  0.333  0.667  0.667
Br  0.667  0.333  0.333


VASP calculation (PBE) on a relaxed structure of TcMoBr2.

uncorrected formation energy	1.082	eV per atom
space group	Fm-3m (225)
crystal system	cubic
DOS(E_F)	1.22	states/eV per atom

a = 6.421 Å, b = 6.421 Å, c = 6.421 Å
α = 90.00°, β = 90.00°, γ = 90.00°
Atoms (fractional coordinates):
Tc  0.000  0.000  0.000
Tc  0.000  0.500  0.500
Tc  0.500  0.000  0.500
Tc  0.500  0.500  0.000
Mo  0.000  0.000  0.500
Mo  0.000  0.500  0.000
Mo  0.500  0.000  0.000
Mo  0.500  0.500  0.500
Br  0.250  0.250  0.250
Br  0.250  0.250  0.750
Br  0.250  0.750  0.250
Br  0.250  0.750  0.750
Br  0.750  0.250  0.250
Br  0.750  0.250  0.750
Br  0.750  0.750  0.250
Br  0.750  0.750  0.750


VASP calculation (PBE) on a relaxed structure of TcMo2Br.

uncorrected formation energy	0.701	eV per atom
space group	Immm (71)
crystal system	orthorhombic
DOS(E_F)	0.76	states/eV per atom

a = 3.039 Å, b = 4.506 Å, c = 9.210 Å
α = 90.00°, β = 90.00°, γ = 90.00°
Atoms (fractional coordinates):
Tc  0.000  0.000  0.000
Tc  0.500  0.500  0.500
Mo  0.000  0.500  0.237
Mo  0.000  0.500  0.763
Mo  0.500  0.000  0.263
Mo  0.500  0.000  0.737
Br  0.000  0.000  0.500
Br  0.500  0.500  0.000


VASP calculation (PBE) on a relaxed structure of TcMo2Br.

uncorrected formation energy	0.490	eV per atom
space group	R-3m (166)
crystal system	trigonal
DOS(E_F)	0.87	states/eV per atom

a = 2.931 Å, b = 2.931 Å, c = 26.289 Å
α = 90.00°, β = 90.00°, γ = 120.00°
Atoms (fractional coordinates):
Tc  0.000  0.000  0.000
Tc  0.333  0.667  0.667
Tc  0.667  0.333  0.333
Mo  0.000  0.000  0.252
Mo  0.000  0.000  0.748
Mo  0.333  0.667  0.415
Mo  0.333  0.667  0.918
Mo  0.667  0.333  0.082
Mo  0.667  0.333  0.585
Br  0.000  0.000  0.500
Br  0.333  0.667  0.167
Br  0.667  0.333  0.833


VASP calculation (PBE) on a relaxed structure of TcMoBr2.

uncorrected formation energy	0.339	eV per atom
space group	C2/m (12)
crystal system	monoclinic
DOS(E_F)	0.56	states/eV per atom

a = 15.221 Å, b = 3.192 Å, c = 4.098 Å
α = 90.00°, β = 95.78°, γ = 90.00°
Atoms (fractional coordinates):
Tc  0.000  0.000  0.000
Tc  0.500  0.500  0.000
Mo  0.000  0.500  0.500
Mo  0.500  0.000  0.500
Br  0.143  0.000  0.721
Br  0.357  0.500  0.279
Br  0.643  0.500  0.721
Br  0.857  0.000  0.279


| no. | total energy (eV per atom) | total magnetic moment (μB/atom) | calculated volume (Å³ per cell) |
| --- | --- | --- | --- |
| 1 | -5.484 | 0.51 | 123 |
| 2 | -6.329 | 0.00 | 125 |
| 3 | -7.044 | 0.36 | 110 |
| 4 | -7.703 | 0.00 | 111 |
| 5 | -7.824 | 0.00 | 193 |
| 6 | -7.814 | 0.00 | 194 |
| 7 | -5.053 | 0.00 | 265 |
| 8 | -7.724 | 0.00 | 126 |
| 9 | -7.936 | 0.00 | 196 |
| 10 | -5.797 | 0.00 | 198 |